[1]
# CdAuIBr2, optimized geometry, DFT PBE-GGA
# formation energy (no corrections): 0.07 eV per atom
data_CdAuIBr2
_cell_length_a 5.241
_cell_length_b 5.241
_cell_length_c 6.387
_cell_angle_alpha 90.00
_cell_angle_beta 90.00
_cell_angle_gamma 90.00
_symmetry_space_group_name_H-M 'P 4/m m m'
_symmetry_Int_Tables_number 123
_symmetry_space_group_name_Hall '-P 4 2'
loop_
_atom_site_label
_atom_site_type_symbol
_atom_site_fract_x
_atom_site_fract_y
_atom_site_fract_z
Cd1 Cd 0.000 0.000 0.000
Au1 Au 0.500 0.500 0.500
I1 I 0.000 0.000 0.500
Br1 Br 0.000 0.500 0.000


[2]
# Cd2InAuBr, optimized geometry, DFT PBE-GGA
# formation energy (no corrections): -0.21 eV per atom
data_Cd2InAuBr
_cell_length_a 5.381
_cell_length_b 5.381
_cell_length_c 5.309
_cell_angle_alpha 90.00
_cell_angle_beta 90.00
_cell_angle_gamma 90.00
_symmetry_space_group_name_H-M 'P 4/m m m'
_symmetry_Int_Tables_number 123
_symmetry_space_group_name_Hall '-P 4 2'
loop_
_atom_site_label
_atom_site_type_symbol
_atom_site_fract_x
_atom_site_fract_y
_atom_site_fract_z
Cd1 Cd 0.000 0.500 0.000
In1 In 0.000 0.000 0.500
Au1 Au 0.000 0.000 0.000
Br1 Br 0.500 0.500 0.500